--- a ---
First-principles (GGA-PBE) data for SrNiS2Cl after structural relaxation, as listed in Alexandria via LeMat-Bulk.

Structure (POSCAR):
```
SrNiS2Cl
1.0
4.5782 0.0000 0.0000
0.0000 4.5782 0.0000
0.0000 0.0000 4.7972
Sr Ni S Cl
1 1 2 1
Cartesian
0.0000 0.0000 0.0000
2.2891 2.2891 2.3986
0.0000 2.2891 2.3986
2.2891 0.0000 2.3986
2.2891 2.2891 0.0000
```

Computed properties:
Fermi-level density of states (states/eV per cell): 5.063
SG: P4/mmm, No. 123
Crystal system: tetragonal

--- b ---
First-principles (GGA-PBE) data for SrNiS2Cl after structural relaxation, as listed in Alexandria via LeMat-Bulk.

Structure (POSCAR):
```
SrNiS2Cl
1.0
5.5566 0.0000 0.0000
0.0000 5.5566 0.0000
0.0000 0.0000 5.4023
Sr Ni S Cl
1 1 2 1
Cartesian
0.0000 0.0000 0.0000
2.7783 2.7783 2.7011
0.0000 2.7783 0.0000
2.7783 0.0000 0.0000
0.0000 0.0000 2.7011
```

Computed properties:
Fermi-level density of states (states/eV per cell): 16.566
SG: P4/mmm, No. 123
Crystal system: tetragonal

Short version: a, b, most stable first.

--- a ---
First-principles (GGA-PBE) data for TaNiS2Cl after structural relaxation, as listed in Alexandria via LeMat-Bulk.

Structure (POSCAR):
```
TaNiS2Cl
1.0
4.7898 0.0000 0.0000
0.0000 4.7898 0.0000
0.0000 0.0000 4.7813
Ta Ni S Cl
1 1 2 1
Cartesian
0.0000 0.0000 0.0000
2.3949 2.3949 2.3907
0.0000 2.3949 0.0000
2.3949 0.0000 0.0000
0.0000 0.0000 2.3907
```

Computed properties:
Fermi-level density of states (states/eV per cell): 11.355
SG: P4/mmm, No. 123
Crystal system: tetragonal

--- b ---
First-principles (GGA-PBE) data for TaNiS2Cl after structural relaxation, as listed in Alexandria via LeMat-Bulk.

Structure (POSCAR):
```
TaNiS2Cl
1.0
4.4742 0.0000 0.0000
0.0000 4.4742 0.0000
0.0000 0.0000 4.3005
Ta Ni S Cl
1 1 2 1
Cartesian
0.0000 0.0000 0.0000
2.2371 2.2371 2.1502
0.0000 2.2371 2.1502
2.2371 0.0000 2.1502
2.2371 2.2371 0.0000
```

Computed properties:
Fermi-level density of states (states/eV per cell): 3.172
SG: P4/mmm, No. 123
Crystal system: tetragonal

Short version: a, b, most stable first.